Computed, not measured: crystalline Ac2ZnWO6 at its relaxed geometry at the PBE with a Hubbard U level of DFT.

Summary:
Magnetic moment = 2.0 μB/f.u.
DOS at the Fermi energy = 0.00 states/eV/cell
DFT total energy = -7.15 eV per atom

CIF file:
```
data_Ac2ZnWO6
_chemical_formula_sum 'Ac2 Zn1 W1 O6'
_cell_length_a 5.7957
_cell_length_b 5.7957
_cell_length_c 5.7957
_cell_angle_alpha 120.85
_cell_angle_beta 118.42
_cell_angle_gamma 90.64
_space_group_name_H-M_alt 'P 1'
_space_group_IT_number 1
_space_group_name_Hall 'P 1'
loop_
_atom_site_label
_atom_site_fract_x
_atom_site_fract_y
_atom_site_fract_z
Ac1 0.2395 0.2395 0.0000
Ac2 0.7605 0.7605 0.0000
Zn1 0.0000 0.5000 0.5000
W1 0.5000 0.0000 0.5000
O1 0.2401 0.2387 0.4788
O2 0.2401 0.7613 0.0014
O3 0.2519 0.7519 0.5000
O4 0.7481 0.2481 0.5000
O5 0.7599 0.2387 0.9986
O6 0.7599 0.7613 0.5212
```